# 1
FeReP | PBE-GGA | optimized geometry

Summary:
N(E_F) = 1.119 states/eV per atom
M_tot = 9.083 μB per cell
energy above the lowest structure with this stoichiometry = 1.12 eV/f.u.

Lattice parameters (Å, degrees): 2.988 4.722 11.376 90.00 90.00 90.00
Space group Fmm2 (No. 42)
Asymmetric unit:
Fe1 0.000 0.000 0.000 x4
Re1 0.000 0.000 0.308 x4
P1 0.000 0.000 0.648 x4

# 2
K3CePb2Se6 | PBE-GGA | optimized geometry

Summary:
N(E_F) = 0.590 states/eV per atom
M_tot = 0.000 μB per cell
E_form (uncorrected) = -1.0912 eV per atom

Lattice parameters (Å, degrees): 7.560 13.091 8.102 90.00 108.12 90.00
Space group C2/m (No. 12)
Asymmetric unit:
K1 0.000 0.000 0.000 x2
K2 0.000 0.327 0.000 x4
Ce1 0.000 0.500 0.500 x2
Pb1 0.000 0.166 0.500 x4
Se1 0.228 0.342 0.711 x8
Se2 0.245 0.500 0.288 x4